[1]
A crystal of MgSc5 relaxed with PBEsol, computed with SCAN.

Lattice parameters (Å, degrees): 11.6889 3.2506 7.6277 90.00 104.20 90.00
Element x y z (fractional)
Mg1 0.0000 0.0000 0.0000
Mg2 0.5000 0.5000 0.0000
Sc1 0.0633 0.0000 0.6058
Sc2 0.1718 0.5000 0.3368
Sc3 0.2204 0.5000 0.9427
Sc4 0.3385 0.0000 0.6683
Sc5 0.3887 0.0000 0.2785
Sc6 0.5633 0.5000 0.6058
Sc7 0.6718 0.0000 0.3368
Sc8 0.7204 0.0000 0.9427
Sc9 0.8385 0.5000 0.6683
Sc10 0.8887 0.5000 0.2785

Results
Formation energy: 0.00 eV/atom
M_tot: 3.37 μB per cell



[2]
A crystal of SnP3Se relaxed with PBEsol, computed with SCAN.

Lattice parameters (Å, degrees): 4.7161 4.7161 4.7161 90.00 90.00 90.00
Element x y z (fractional)
Sn1 0.0000 0.0000 0.0000
P1 0.0000 0.5000 0.5000
P2 0.5000 0.0000 0.5000
P3 0.5000 0.5000 0.0000
Se1 0.5000 0.5000 0.5000

Results
Uncorrected formation energy: 1.053 eV/atom
M_tot: 0.00 μB per cell



[3]
A crystal of HfPt2Se relaxed with PBEsol, computed with SCAN.

Lattice parameters (Å, degrees): 5.7446 5.7446 11.5019 90.00 90.00 90.00
Element x y z (fractional)
Hf1 0.0000 0.0000 0.0000
Hf2 0.0000 0.5000 0.2500
Hf3 0.5000 0.0000 0.7500
Hf4 0.5000 0.5000 0.5000
Pt1 0.2284 0.2500 0.6250
Pt2 0.2500 0.7284 0.8750
Pt3 0.2500 0.7716 0.3750
Pt4 0.2716 0.2500 0.1250
Pt5 0.7284 0.7500 0.1250
Pt6 0.7500 0.2284 0.3750
Pt7 0.7500 0.2716 0.8750
Pt8 0.7716 0.7500 0.6250
Se1 0.0000 0.0000 0.5000
Se2 0.0000 0.5000 0.7500
Se3 0.5000 0.0000 0.2500
Se4 0.5000 0.5000 0.0000

Results
Uncorrected formation energy: -0.387 eV/atom
M_tot: 0.00 μB per cell



[4]
A crystal of LaSn3Hg relaxed with PBEsol, computed with SCAN.

Lattice parameters (Å, degrees): 5.4225 5.4225 5.4225 90.00 90.00 90.00
Element x y z (fractional)
La1 0.0000 0.0000 0.0000
Sn1 0.0000 0.5000 0.5000
Sn2 0.5000 0.0000 0.5000
Sn3 0.5000 0.5000 0.0000
Hg1 0.5000 0.5000 0.5000

Results
Formation energy: 0.15 eV/atom
M_tot: 0.00 μB per cell



[5]
A crystal of TeRuCl3 relaxed with PBEsol, computed with SCAN.

Lattice parameters (Å, degrees): 4.6861 4.6861 4.6861 90.00 90.00 90.00
Element x y z (fractional)
Te1 0.0000 0.0000 0.0000
Ru1 0.5000 0.5000 0.5000
Cl1 0.0000 0.5000 0.5000
Cl2 0.5000 0.0000 0.5000
Cl3 0.5000 0.5000 0.0000

Results
Uncorrected formation energy: 0.112 eV/atom
M_tot: 1.51 μB per cell



[6]
A crystal of LiAg2As relaxed with PBEsol, computed with SCAN.

Lattice parameters (Å, degrees): 4.1169 4.1169 7.6642 90.00 90.00 90.00
Element x y z (fractional)
Li1 0.0000 0.0000 0.0000
Li2 0.5000 0.5000 0.5000
Ag1 0.0000 0.0000 0.5000
Ag2 0.0000 0.5000 0.7500
Ag3 0.5000 0.0000 0.2500
Ag4 0.5000 0.5000 0.0000
As1 0.0000 0.5000 0.2500
As2 0.5000 0.0000 0.7500

Results
Formation energy: -0.18 eV/atom
M_tot: 0.00 μB per cell



[7]
A crystal of ZrBeCo relaxed with PBEsol, computed with SCAN.

Lattice parameters (Å, degrees): 5.5366 5.5366 5.5366 90.00 90.00 90.00
Element x y z (fractional)
Zr1 0.0000 0.0000 0.0000
Zr2 0.0000 0.5000 0.5000
Zr3 0.5000 0.0000 0.5000
Zr4 0.5000 0.5000 0.0000
Be1 0.2500 0.2500 0.7500
Be2 0.2500 0.7500 0.2500
Be3 0.7500 0.2500 0.2500
Be4 0.7500 0.7500 0.7500
Co1 0.0000 0.0000 0.5000
Co2 0.0000 0.5000 0.0000
Co3 0.5000 0.0000 0.0000
Co4 0.5000 0.5000 0.5000

Results
Formation energy: 0.21 eV/atom
M_tot: 5.71 μB per cell



[8]
A crystal of Sb2TeAsC relaxed with PBEsol, computed with SCAN.

Lattice parameters (Å, degrees): 4.7654 4.7654 4.6629 90.00 90.00 90.00
Element x y z (fractional)
Sb1 0.0000 0.5000 0.0000
Sb2 0.5000 0.0000 0.0000
Te1 0.0000 0.0000 0.5000
As1 0.5000 0.5000 0.5000
C1 0.0000 0.0000 0.0000

Results
Uncorrected formation energy: 1.140 eV/atom
M_tot: 0.00 μB per cell